Compound: BeSnTeMo
Source: the Open Quantum Materials Database
Functional: PBE
Structure: optimized geometry

## Properties
ΔE to the lowest computed polymorph in meV/atom: 0.0
Total magnetization in μB per formula unit: 0.1
V in Å³/atom: 18.6

Cell lengths 4.7196, 4.7196, 4.7196 Å; angles 60.00, 60.00, 60.00 degrees
Positions (direct):
Be: 0.0000 0.0000 0.0000
Sn: 0.7500 0.7500 0.7500
Te: 0.2500 0.2500 0.2500
Mo: 0.5000 0.5000 0.5000